Entry 1:
PBE RbCd2OsC, optimized geometry; total energy = -14.0 eV/cell; SG = P4/mmm
1.0
-4.3610 -1.1524 -0.5315
1.2595 -5.3730 1.3156
-0.7706 0.8933 4.3860
C Os Rb Cd
1 1 1 2
direct
0.0000 0.0000 0.0000
0.5000 0.5000 0.5000
0.0000 0.5000 0.0000
0.0000 0.0000 0.5000
0.5000 0.0000 0.0000

***

Entry 2:
PBE Ho2LuSb, optimized geometry; ΔE to the lowest computed polymorph = 0 meV per atom; ΔE_f (raw) = -0.49 eV/atom; SG = P4/mmm
1.0
-2.2151 -2.7291 2.1310
-0.8301 -2.0374 -3.4721
5.3855 -3.6872 0.8761
Sb Lu Ho
1 1 2
direct
0.5000 0.5000 0.0000
0.5000 0.5000 0.5000
0.0000 0.0000 0.7617
0.0000 0.0000 0.2383

***

Entry 3:
PBE CsHoZnSe3, optimized geometry; ΔE to the lowest computed polymorph = 24 meV per atom; ΔE_f (raw) = -1.40 eV/atom; SG = P2_1/m
1.0
-0.4840 -3.8673 1.4963
2.6511 -3.6591 -8.5994
8.0669 1.4078 6.2482
Cs Ho Zn Se
2 2 2 6
direct
0.2500 0.2172 0.2438
0.7500 0.7828 0.7562
0.2500 0.6684 0.1374
0.7500 0.3316 0.8626
0.2500 0.0832 0.6104
0.7500 0.9168 0.3896
0.7500 0.8759 0.1413
0.2500 0.1241 0.8587
0.2500 0.8062 0.4549
0.7500 0.1938 0.5451
0.7500 0.4762 0.1556
0.2500 0.5238 0.8444

***

Entry 4:
PBE BaLa2In3, optimized geometry; total energy = -22.8 eV/cell; SG = P4/mmm
1.0
-2.9972 -0.9638 2.5242
2.6037 -0.0225 3.0829
-2.2054 11.9652 1.9500
Ba La In
1 2 3
direct
0.5000 0.5000 0.5000
0.5000 0.5000 0.8414
0.5000 0.5000 0.1586
0.0000 0.0000 0.0000
0.0000 0.0000 0.6923
0.0000 0.0000 0.3077

***

Entry 5:
PBE Cs2Np2Te5, optimized geometry; ΔE_f (raw) = -0.81 eV/atom; SG = Cmce
1.0
8.5168 0.0000 0.0000
0.0000 8.5111 0.0000
0.0000 -4.2555 9.3861
Cs Np Te
4 4 10
direct
0.0000 0.2070 0.4139
0.5000 0.7070 0.4139
0.0000 0.7930 0.5861
0.5000 0.2930 0.5861
0.6547 0.8454 0.0000
0.3453 0.1546 0.0000
0.1547 0.6546 0.0000
0.8453 0.3454 0.0000
0.0000 0.0000 0.0000
0.5000 0.5000 0.0000
0.8539 0.7514 0.2103
0.1461 0.4589 0.2103
0.3539 0.9589 0.2103
0.6461 0.2514 0.2103
0.1461 0.2486 0.7897
0.8539 0.5411 0.7897
0.6461 0.0411 0.7897
0.3539 0.7486 0.7897

***

Entry 6:
PBE ScCoRh2, optimized geometry; total energy = -28.5 eV/cell; SG = R-3m
1.0
8.4376 -0.0270 -0.0159
7.9456 2.8393 -0.0159
7.9456 1.3639 2.4903
Co Rh Sc
1 2 1
direct
0.7500 0.7500 0.7500
0.0024 0.0024 0.0024
0.4976 0.4976 0.4976
0.2500 0.2500 0.2500